Entry 1:
UAs2Au: relaxed, PBE.

```
data_UAs2Au
_space_group_name_H-M_alt 'R -3 m'
_space_group_IT_number 166
_space_group_name_Hall '-R 3 2"'
_cell_length_a 2.9989
_cell_length_b 2.9989
_cell_length_c 31.6835
_cell_angle_alpha 90.00
_cell_angle_beta 90.00
_cell_angle_gamma 120.00
loop_
_atom_site_label
_atom_site_type_symbol
_atom_site_fract_x
_atom_site_fract_y
_atom_site_fract_z
U1 U 0.0000 0.0000 0.0000
As1 As 0.0000 0.0000 0.0937
Au1 Au 0.0000 0.0000 0.5000
```

Results
Total magnetization, μB/atom: 0.635
E, eV/atom: -5.573
Calculated formation energy, meV per atom: 393

---

Entry 2:
BaHgS: relaxed, PBE.

```
data_BaHgS
_space_group_name_H-M_alt 'P 1'
_space_group_IT_number 1
_cell_length_a 4.1678
_cell_length_b 4.4067
_cell_length_c 6.8900
_cell_angle_alpha 108.20
_cell_angle_beta 107.15
_cell_angle_gamma 90.00
loop_
_space_group_symop_operation_xyz
'x,y,z'
loop_
_atom_site_label
_atom_site_type_symbol
_atom_site_fract_x
_atom_site_fract_y
_atom_site_fract_z
Ba1 Ba 0.0000 0.0000 0.0000
Hg1 Hg 0.7388 0.2453 0.4850
S1 S 0.4400 0.4404 0.8774
```

Results
Total magnetization, μB/atom: 0.000
E, eV/atom: -3.249

---

Entry 3:
BaCrGe2Ir: relaxed, PBE.

```
data_BaCrGe2Ir
_space_group_name_H-M_alt 'P 4/m m m'
_space_group_IT_number 123
_space_group_name_Hall '-P 4 2'
_cell_length_a 4.7067
_cell_length_b 4.7067
_cell_length_c 4.8881
_cell_angle_alpha 90.00
_cell_angle_beta 90.00
_cell_angle_gamma 90.00
loop_
_atom_site_label
_atom_site_type_symbol
_atom_site_fract_x
_atom_site_fract_y
_atom_site_fract_z
Ba1 Ba 0.0000 0.0000 0.0000
Cr1 Cr 0.5000 0.5000 0.5000
Ge1 Ge 0.0000 0.5000 0.5000
Ir1 Ir 0.5000 0.5000 0.0000
```

Results
Total magnetization, μB/atom: 0.000
E, eV/atom: -5.837
Calculated formation energy, meV per atom: 92

---

Entry 4:
PmBeGa2Pt4: relaxed, PBE.

```
data_PmBeGa2Pt4
_space_group_name_H-M_alt 'R -3 m'
_space_group_IT_number 166
_space_group_name_Hall '-R 3 2"'
_cell_length_a 4.2795
_cell_length_b 4.2795
_cell_length_c 25.4955
_cell_angle_alpha 90.00
_cell_angle_beta 90.00
_cell_angle_gamma 120.00
loop_
_atom_site_label
_atom_site_type_symbol
_atom_site_fract_x
_atom_site_fract_y
_atom_site_fract_z
Pm1 Pm 0.0000 0.0000 0.0000
Be1 Be 0.0000 0.0000 0.5000
Ga1 Ga 0.0000 0.0000 0.2428
Pt1 Pt 0.0000 0.0000 0.1378
Pt2 Pt 0.0000 0.0000 0.4081
```

Results
Total magnetization, μB/atom: 0.000
E, eV/atom: -5.677
Calculated formation energy, meV per atom: -840

---

Entry 5:
Tb3Dy4Ni4: relaxed, PBE.

```
data_Tb3Dy4Ni4
_space_group_name_H-M_alt 'I m m m'
_space_group_IT_number 71
_space_group_name_Hall '-I 2 2'
_cell_length_a 4.5616
_cell_length_b 7.4280
_cell_length_c 14.9113
_cell_angle_alpha 90.00
_cell_angle_beta 90.00
_cell_angle_gamma 90.00
loop_
_atom_site_label
_atom_site_type_symbol
_atom_site_fract_x
_atom_site_fract_y
_atom_site_fract_z
Tb1 Tb 0.0000 0.0000 0.0000
Tb2 Tb 0.0000 0.5000 0.1039
Dy1 Dy 0.0000 0.2855 0.3304
Ni1 Ni 0.0000 0.0000 0.2058
Ni2 Ni 0.0000 0.1598 0.5000
```

Results
Total magnetization, μB/atom: 0.000
E, eV/atom: -5.257
Calculated formation energy, meV per atom: -219

---

Entry 6:
BaSi2H: relaxed, PBE.

```
data_BaSi2H
_space_group_name_H-M_alt 'F m -3 m'
_space_group_IT_number 225
_space_group_name_Hall '-F 4 2 3'
_cell_length_a 7.1866
_cell_length_b 7.1866
_cell_length_c 7.1866
_cell_angle_alpha 90.00
_cell_angle_beta 90.00
_cell_angle_gamma 90.00
loop_
_atom_site_label
_atom_site_type_symbol
_atom_site_fract_x
_atom_site_fract_y
_atom_site_fract_z
Ba1 Ba 0.0000 0.0000 0.0000
Si1 Si 0.2500 0.2500 0.2500
H1 H 0.0000 0.0000 0.5000
```

Results
Total magnetization, μB/atom: 0.000
E, eV/atom: -3.047

---

Entry 7:
TeCl3: relaxed, PBE.

```
data_TeCl3
_space_group_name_H-M_alt 'R -3 m'
_space_group_IT_number 166
_space_group_name_Hall '-R 3 2"'
_cell_length_a 3.5739
_cell_length_b 3.5739
_cell_length_c 27.6763
_cell_angle_alpha 90.00
_cell_angle_beta 90.00
_cell_angle_gamma 120.00
loop_
_atom_site_label
_atom_site_type_symbol
_atom_site_fract_x
_atom_site_fract_y
_atom_site_fract_z
Te1 Te 0.0000 0.0000 0.0000
Cl1 Cl 0.0000 0.0000 0.4149
Cl2 Cl 0.0000 0.0000 0.5000
```

Results
Total magnetization, μB/atom: 0.000
E, eV/atom: -2.005

---

Entry 8:
Sr2CaPdO: relaxed, PBE.

```
data_Sr2CaPdO
_space_group_name_H-M_alt 'P 4/m m m'
_space_group_IT_number 123
_space_group_name_Hall '-P 4 2'
_cell_length_a 5.1596
_cell_length_b 5.1596
_cell_length_c 4.6702
_cell_angle_alpha 90.00
_cell_angle_beta 90.00
_cell_angle_gamma 90.00
loop_
_atom_site_label
_atom_site_type_symbol
_atom_site_fract_x
_atom_site_fract_y
_atom_site_fract_z
Sr1 Sr 0.0000 0.5000 0.0000
Ca1 Ca 0.0000 0.0000 0.5000
Pd1 Pd 0.5000 0.5000 0.5000
O1 O 0.0000 0.0000 0.0000
```

Results
Total magnetization, μB/atom: 0.000
E, eV/atom: -4.397

---

Entry 9:
HoPaAgAu: relaxed, PBE.

```
data_HoPaAgAu
_space_group_name_H-M_alt 'F -4 3 m'
_space_group_IT_number 216
_space_group_name_Hall 'F -4 2 3'
_cell_length_a 7.2244
_cell_length_b 7.2244
_cell_length_c 7.2244
_cell_angle_alpha 90.00
_cell_angle_beta 90.00
_cell_angle_gamma 90.00
loop_
_atom_site_label
_atom_site_type_symbol
_atom_site_fract_x
_atom_site_fract_y
_atom_site_fract_z
Ho1 Ho 0.0000 0.0000 0.0000
Pa1 Pa 0.0000 0.0000 0.5000
Ag1 Ag 0.2500 0.2500 0.2500
Au1 Au 0.2500 0.2500 0.7500
```

Results
Total magnetization, μB/atom: 0.173
E, eV/atom: -5.222
Calculated formation energy, meV per atom: -171

---

Entry 10:
PrMgI: relaxed, PBE.

```
data_PrMgI
_space_group_name_H-M_alt 'C 1 2/m 1'
_space_group_IT_number 12
_cell_length_a 7.1246
_cell_length_b 4.1048
_cell_length_c 15.5926
_cell_angle_alpha 90.00
_cell_angle_beta 98.42
_cell_angle_gamma 90.00
loop_
_space_group_symop_operation_xyz
'x,y,z'
'-x,-y,-z'
'-x,y,-z'
'x,-y,z'
'x+1/2,y+1/2,z'
'-x+1/2,-y+1/2,-z'
'-x+1/2,y+1/2,-z'
'x+1/2,-y+1/2,z'
loop_
_atom_site_label
_atom_site_type_symbol
_atom_site_fract_x
_atom_site_fract_y
_atom_site_fract_z
Pr1 Pr 0.0958 0.0000 0.2764
Mg1 Mg 0.1869 0.0000 0.5659
I1 I 0.1167 0.5000 0.8652
```

Results
Total magnetization, μB/atom: 0.000
E, eV/atom: -3.162

---

Entry 11:
LiP3: relaxed, PBE.

```
data_LiP3
_space_group_name_H-M_alt 'P m m n'
_space_group_IT_number 59
_cell_length_a 4.4289
_cell_length_b 5.4933
_cell_length_c 5.8857
_cell_angle_alpha 90.00
_cell_angle_beta 90.00
_cell_angle_gamma 90.00
loop_
_space_group_symop_operation_xyz
'x,y,z'
'-x,-y,-z'
'-x+1/2,-y+1/2,z'
'x+1/2,y+1/2,-z'
'x+1/2,-y,-z'
'-x+1/2,y,z'
'-x,y+1/2,-z'
'x,-y+1/2,z'
loop_
_atom_site_label
_atom_site_type_symbol
_atom_site_fract_x
_atom_site_fract_y
_atom_site_fract_z
Li1 Li 0.2500 0.2500 0.0947
P1 P 0.2500 0.5450 0.7376
P2 P 0.2500 0.7500 0.4146
```

Results
Total magnetization, μB/atom: 0.000
E, eV/atom: -4.501
Calculated formation energy, meV per atom: 35

---

Entry 12:
Cu2As: relaxed, PBE.

```
data_Cu2As
_space_group_name_H-M_alt 'P 63/m m c'
_space_group_IT_number 194
_space_group_name_Hall '-P 6c 2c'
_cell_length_a 4.3140
_cell_length_b 4.3140
_cell_length_c 5.2949
_cell_angle_alpha 90.00
_cell_angle_beta 90.00
_cell_angle_gamma 120.00
loop_
_atom_site_label
_atom_site_type_symbol
_atom_site_fract_x
_atom_site_fract_y
_atom_site_fract_z
Cu1 Cu 0.0000 0.0000 0.0000
Cu2 Cu 0.3333 0.6667 0.2500
As1 As 0.3333 0.6667 0.7500
```

Results
Total magnetization, μB/atom: 0.000
E, eV/atom: -4.133
Calculated formation energy, meV per atom: 148

---

Entry 13:
FeCoPS2: relaxed, PBE.

```
data_FeCoPS2
_space_group_name_H-M_alt 'P 4/m m m'
_space_group_IT_number 123
_space_group_name_Hall '-P 4 2'
_cell_length_a 4.4211
_cell_length_b 4.4211
_cell_length_c 4.1404
_cell_angle_alpha 90.00
_cell_angle_beta 90.00
_cell_angle_gamma 90.00
loop_
_atom_site_label
_atom_site_type_symbol
_atom_site_fract_x
_atom_site_fract_y
_atom_site_fract_z
Fe1 Fe 0.0000 0.0000 0.0000
Co1 Co 0.5000 0.5000 0.5000
P1 P 0.5000 0.5000 0.0000
S1 S 0.0000 0.5000 0.5000
```

Results
Total magnetization, μB/atom: 0.013
E, eV/atom: -4.921

---

Entry 14:
TlSnPb2: relaxed, PBE.

```
data_TlSnPb2
_space_group_name_H-M_alt 'P 4/m m m'
_space_group_IT_number 123
_space_group_name_Hall '-P 4 2'
_cell_length_a 3.5520
_cell_length_b 3.5520
_cell_length_c 9.6847
_cell_angle_alpha 90.00
_cell_angle_beta 90.00
_cell_angle_gamma 90.00
loop_
_atom_site_label
_atom_site_type_symbol
_atom_site_fract_x
_atom_site_fract_y
_atom_site_fract_z
Tl1 Tl 0.0000 0.0000 0.0000
Sn1 Sn 0.0000 0.0000 0.5000
Pb1 Pb 0.5000 0.5000 0.2618
```

Results
Total magnetization, μB/atom: 0.000
E, eV/atom: -3.445
Calculated formation energy, meV per atom: 1

---

Entry 15:
CrGaWCl2: relaxed, PBE.

```
data_CrGaWCl2
_space_group_name_H-M_alt 'P 4/m m m'
_space_group_IT_number 123
_space_group_name_Hall '-P 4 2'
_cell_length_a 4.7626
_cell_length_b 4.7626
_cell_length_c 5.5285
_cell_angle_alpha 90.00
_cell_angle_beta 90.00
_cell_angle_gamma 90.00
loop_
_atom_site_label
_atom_site_type_symbol
_atom_site_fract_x
_atom_site_fract_y
_atom_site_fract_z
Cr1 Cr 0.0000 0.0000 0.0000
Ga1 Ga 0.0000 0.0000 0.5000
W1 W 0.5000 0.5000 0.0000
Cl1 Cl 0.0000 0.5000 0.5000
```

Results
Total magnetization, μB/atom: 0.009
E, eV/atom: -4.487

---

Entry 16:
Ca2Nd2GaPt4: relaxed, PBE.

```
data_Ca2Nd2GaPt4
_space_group_name_H-M_alt 'I 4/m m m'
_space_group_IT_number 139
_space_group_name_Hall '-I 4 2'
_cell_length_a 7.0654
_cell_length_b 7.0654
_cell_length_c 8.6316
_cell_angle_alpha 90.00
_cell_angle_beta 90.00
_cell_angle_gamma 90.00
loop_
_atom_site_label
_atom_site_type_symbol
_atom_site_fract_x
_atom_site_fract_y
_atom_site_fract_z
Ca1 Ca 0.0000 0.5000 0.2500
Nd1 Nd 0.0000 0.0000 0.1773
Ga1 Ga 0.0000 0.0000 0.5000
Pt1 Pt 0.2492 0.2492 0.5000
```

Results
Total magnetization, μB/atom: 0.000
E, eV/atom: -5.143
Calculated formation energy, meV per atom: -618

---

Entry 17:
Nd4Ni: relaxed, PBE.

```
data_Nd4Ni
_space_group_name_H-M_alt 'P m -3 m'
_space_group_IT_number 221
_space_group_name_Hall '-P 4 2 3'
_cell_length_a 5.5025
_cell_length_b 5.5025
_cell_length_c 5.5025
_cell_angle_alpha 90.00
_cell_angle_beta 90.00
_cell_angle_gamma 90.00
loop_
_atom_site_label
_atom_site_type_symbol
_atom_site_fract_x
_atom_site_fract_y
_atom_site_fract_z
Nd1 Nd 0.0000 0.0000 0.0000
Nd2 Nd 0.0000 0.5000 0.5000
Ni1 Ni 0.5000 0.5000 0.5000
```

Results
Total magnetization, μB/atom: 0.000
E, eV/atom: -4.947
Calculated formation energy, meV per atom: 23

---

Entry 18:
Ag3Sn2Au4: relaxed, PBE.

```
data_Ag3Sn2Au4
_space_group_name_H-M_alt 'P -1'
_space_group_IT_number 2
_cell_length_a 4.5575
_cell_length_b 4.9412
_cell_length_c 8.8074
_cell_angle_alpha 82.05
_cell_angle_beta 89.03
_cell_angle_gamma 63.29
loop_
_space_group_symop_operation_xyz
'x,y,z'
'-x,-y,-z'
loop_
_atom_site_label
_atom_site_type_symbol
_atom_site_fract_x
_atom_site_fract_y
_atom_site_fract_z
Ag1 Ag 0.0000 0.0000 0.0000
Ag2 Ag 0.3373 0.3259 0.4455
Sn1 Sn 0.3289 0.3401 0.7793
Au1 Au 0.0089 0.9856 0.3386
Au2 Au 0.3370 0.3257 0.1119
```

Results
Total magnetization, μB/atom: 0.000
E, eV/atom: -3.363
Calculated formation energy, meV per atom: -66

---

Entry 19:
ZnW2C: relaxed, PBE.

```
data_ZnW2C
_space_group_name_H-M_alt 'I -4 2 d'
_space_group_IT_number 122
_space_group_name_Hall 'I -4 2bw'
_cell_length_a 4.8922
_cell_length_b 4.8922
_cell_length_c 11.5450
_cell_angle_alpha 90.00
_cell_angle_beta 90.00
_cell_angle_gamma 90.00
loop_
_atom_site_label
_atom_site_type_symbol
_atom_site_fract_x
_atom_site_fract_y
_atom_site_fract_z
Zn1 Zn 0.0000 0.0000 0.0000
W1 W 0.1352 0.2500 0.6250
C1 C 0.0000 0.0000 0.5000
```

Results
Total magnetization, μB/atom: 0.000
E, eV/atom: -7.881
Calculated formation energy, meV per atom: 1220

---

Entry 20:
TbLu2In: relaxed, PBE.

```
data_TbLu2In
_space_group_name_H-M_alt 'P 4/m m m'
_space_group_IT_number 123
_space_group_name_Hall '-P 4 2'
_cell_length_a 3.5483
_cell_length_b 3.5483
_cell_length_c 8.9701
_cell_angle_alpha 90.00
_cell_angle_beta 90.00
_cell_angle_gamma 90.00
loop_
_atom_site_label
_atom_site_type_symbol
_atom_site_fract_x
_atom_site_fract_y
_atom_site_fract_z
Tb1 Tb 0.0000 0.0000 0.0000
Lu1 Lu 0.5000 0.5000 0.2725
In1 In 0.0000 0.0000 0.5000
```

Results
Total magnetization, μB/atom: 0.000
E, eV/atom: -4.336
Calculated formation energy, meV per atom: -234